Density functional theory data (PBE-GGA) for a relaxed Sr2TmNpP4 crystal.

Cell and atoms, written as extended XYZ:
```
8
Lattice="7.068 0.000 0.000 0.000 4.133 0.000 -2.355 0.000 6.909" Properties=species:S:1:pos:R:3 pbc="T T T"
Sr 0.000 0.000 0.000
Sr 3.534 2.067 0.000
Tm -1.178 2.067 3.454
Np 2.357 0.000 3.454
P 0.076 0.000 4.927
P 1.225 2.067 2.000
P 3.488 2.067 4.909
P 4.637 0.000 1.982
```

Values from the calculation:
E   -51.3 eV/cell
Calculated formation energy   -107.0 kJ/mol of atoms
Calculated volume   25.23 Å³/atom